Record 1
A plane-wave DFT calculation with PBE was carried out for a geometry-optimized K2LiUTe4 structure.

Unit cell a=4.537 b=7.650 c=8.490 alpha=107.55 beta=90.00 gamma=90.00
Site moments in Bohr magnetons follow the coordinates.
Sites, in units of the cell vectors:
K1 0.500 0.000 0.500  0.00
K2 0.000 0.500 0.500  0.00
Li1 0.500 0.500 0.000  0.00
U1 0.000 0.000 0.000  1.46
Te1 0.500 0.228 0.202  -0.06
Te2 0.500 0.772 0.798  -0.06
Te3 0.000 0.254 0.802  -0.08
Te4 0.000 0.746 0.198  -0.08

Properties
Formation energy without anion corrections in kJ/mol of atoms: -83.07
SG: P2/m

***

Record 2
A plane-wave DFT calculation with PBE was carried out for a geometry-optimized SrCu2Br structure.

Unit cell a=4.263 b=4.263 c=6.782 alpha=90.55 beta=90.55 gamma=59.97
Sites, in units of the cell vectors:
Br1 0.879 0.879 0.735
Cu1 0.872 0.872 0.143
Cu2 0.206 0.206 0.166
Sr1 0.543 0.543 0.456

Properties
Offset from the most stable computed form in meV/atom: 0
Formation energy without anion corrections in kJ/mol of atoms: -45.36
SG: Cm

***

Record 3
A plane-wave DFT calculation with PBE was carried out for a geometry-optimized KZnRu2 structure.

Unit cell a=3.245 b=3.245 c=7.712 alpha=90.00 beta=90.00 gamma=90.00
Site moments in Bohr magnetons follow the coordinates.
Sites, in units of the cell vectors:
K1 0.500 0.500 0.750  0.01
Ru1 0.000 0.000 0.094  0.63
Ru2 0.000 0.000 0.406  0.63
Zn1 0.500 0.500 0.250  -0.01

Properties
Energy of formation from the pure elements in eV/atom: 0.81
SG: P4/mmm

***

Record 4
A plane-wave DFT calculation with PBE was carried out for a geometry-optimized Ac3Ag3Au structure.

Unit cell a=4.844 b=4.136 c=10.994 alpha=100.84 beta=102.73 gamma=90.00
Sites, in units of the cell vectors:
Ac1 0.317 0.817 0.635
Ac2 0.687 0.187 0.374
Ac3 0.996 0.996 0.993
Ag1 0.140 0.640 0.281
Ag2 0.858 0.358 0.715
Ag3 0.567 0.567 0.133
Au1 0.435 0.435 0.869

Properties
Energy of formation from the pure elements in eV/atom: -0.40
SG: Imm2